[1]
5
Lattice="4.591 0.000 0.000 0.000 4.591 0.000 0.000 0.000 4.591" Properties=species:S:1:pos:R:3 comment="MnCrPt3, relaxed, DFT PBE-GGA" total_energy_ev_per_atom=-6.543 formation_energy_mev_per_atom=840 crystal_system=cubic relative_energy_ev_per_atom=0.000 pbc="T T T"
Mn 2.296 2.296 2.296
Pt 0.000 2.296 0.000
Pt 2.296 0.000 0.000
Pt 0.000 0.000 2.296
Cr 0.000 0.000 0.000

[2]
6
Lattice="0.000 3.716 3.716 3.716 0.000 3.716 3.716 3.716 0.000" Properties=species:S:1:pos:R:3 comment="MnCrPt4, relaxed, DFT PBE-GGA" total_energy_ev_per_atom=-7.139 formation_energy_mev_per_atom=20 crystal_system=cubic pbc="T T T"
Pt 2.788 2.788 2.788
Pt 2.788 4.644 4.644
Pt 4.644 2.788 4.644
Pt 4.644 4.644 2.788
Cr 5.574 5.574 5.574
Mn 0.000 0.000 0.000